SrThTe3 | PBE-GGA | optimized geometry

The structure belongs to space group Pnma (No. 62); the cell edges are 8.583, 4.645 and 17.893 Å and the angles 90.00°, 90.00° and 90.00°. The inequivalent atoms are Sr at (0.115, 0.250, 0.208), Th at (0.239, 0.750, 0.457), Te at (0.009, 0.250, 0.403), Te at (0.124, 0.750, 0.060) and Te at (0.171, 0.250, 0.787).

As for the mass density: 6.541 Mg/m³. The calculation puts the total energy at -5.1149 eV/atom. The crystal system is orthorhombic.

GaPdRh2Pb | PBE-GGA | optimized geometry

The structure belongs to space group P4/mmm (No. 123); the cell edges are 4.548, 4.548 and 5.229 Å and the angles 90.00°, 90.00° and 90.00°. The inequivalent atoms are Ga at (0.000, 0.000, 0.000), Pd at (0.500, 0.500, 0.500), Rh at (0.000, 0.500, 0.000) and Pb at (0.000, 0.000, 0.500).

As for the mass density: 9.045 Mg/m³. The crystal system is tetragonal. The formation energy comes out at 0.74 eV/atom.

Pr2SiBr3 | PBE-GGA | optimized geometry

The structure belongs to space group C2/m (No. 12); the cell edges are 19.367, 4.265 and 12.966 Å and the angles 90.00°, 128.05° and 90.00°. The inequivalent atoms are Pr at (0.114, 0.000, 0.441), Pr at (0.129, 0.500, 0.815), Si at (0.055, 0.000, 0.614), Br at (0.045, 0.500, 0.231), Br at (0.172, 0.000, 0.020) and Br at (0.244, 0.500, 0.619).

As for the mass density: 4.329 Mg/m³. The calculation puts the total energy at -4.6897 eV/atom. The crystal system is monoclinic.

K3CaSb2Se6 | PBE-GGA | optimized geometry

The structure belongs to space group C2/m (No. 12); the cell edges are 7.322, 12.687 and 8.121 Å and the angles 90.00°, 107.54° and 90.00°. The inequivalent atoms are K at (0.000, 0.000, 0.000), K at (0.000, 0.335, 0.000), Ca at (0.000, 0.500, 0.500), Sb at (0.000, 0.167, 0.500), Se at (0.225, 0.000, 0.705) and Se at (0.240, 0.328, 0.705).

As for the mass density: 4.038 Mg/m³. The calculation puts the total energy at -3.8101 eV/atom. The crystal system is monoclinic.

Er3Tm4Sc | PBE-GGA | optimized geometry

The structure belongs to space group I4/mcm (No. 140); the cell edges are 8.741, 8.741 and 12.303 Å and the angles 90.00°, 90.00° and 90.00°. The inequivalent atoms are Er at (0.000, 0.000, 0.250), Er at (0.146, 0.354, 0.000), Tm at (0.151, 0.349, 0.337) and Sc at (0.000, 0.000, 0.000).

As for the mass density: 8.639 Mg/m³. The crystal system is tetragonal. The formation energy comes out at 0.09 eV/atom.

Rb2Cd10Hg | PBE-GGA | optimized geometry

The structure belongs to space group Pbam (No. 55); the cell edges are 10.031, 12.579 and 6.594 Å and the angles 90.00°, 90.00° and 90.00°. The inequivalent atoms are Rb at (0.248, 0.056, 0.000), Cd at (0.047, 0.115, 0.500), Cd at (0.074, 0.305, 0.219), Cd at (0.177, 0.701, 0.500), Cd at (0.230, 0.932, 0.500) and Hg at (0.000, 0.500, 0.500).

As for the mass density: 5.969 Mg/m³. The crystal system is orthorhombic. The formation energy comes out at 0.00 eV/atom.

> Among the records above, which one has the highest mass density?

GaPdRh2Pb

> Number 5 is which compound?

Er3Tm4Sc

> Which of these has the lowest mass density?

K3CaSb2Se6